! PBE-GGA LiAc2Ga3Pd4, relaxed; values from VASP
&SYSTEM
  ibrav = 0, nat = 10, ntyp = 4
/
ATOMIC_SPECIES
Li 6.94 Li.upf
Ac 227.00 Ac.upf
Ga 69.72 Ga.upf
Pd 106.42 Pd.upf
CELL_PARAMETERS angstrom
4.4163 0.0000 0.0000
0.0000 4.4163 0.0000
0.0000 0.0000 10.6250
ATOMIC_POSITIONS angstrom
Li 0.0000 0.0000 0.0000
Ac 0.0000 2.2081 7.9442
Ac 2.2081 0.0000 2.6808
Ga 0.0000 2.2081 4.0103
Ga 2.2081 0.0000 6.6148
Ga 2.2081 2.2081 0.0000
Pd 0.0000 0.0000 5.3125
Pd 0.0000 2.2081 1.4159
Pd 2.2081 0.0000 9.2091
Pd 2.2081 2.2081 5.3125
! * volume: 207.2 Å³ per cell
! * ΔE_f: -773 meV per atom
! * magnetization: 0.00 μB per cell
! * symmetry: P-4m2, No. 115